No. 1
The following is a PBE-GGA calculation of an optimized crystal structure of Ho7Tm3Tl2, from Alexandria.

a = 5.565 Å, b = 3.574 Å, c = 18.262 Å
α = 90.00°, β = 93.65°, γ = 90.00°
Space group P2/m (No. 10)
Unique sites:
Ho 0.000 0.000 0.000 [1 per cell]
Ho 0.165 0.500 0.172 [2 per cell]
Ho 0.258 0.500 0.541 [2 per cell]
Ho 0.337 0.000 0.853 [2 per cell]
Tm 0.223 0.000 0.369 [2 per cell]
Tm 0.500 0.500 0.000 [1 per cell]
Tl 0.298 0.500 0.708 [2 per cell]

Values from the calculation:
Energy relative to the elements, eV/atom: -0.011
Magnetization, μB per formula unit: 0.000
Mass density, g/cm³: 9.483


No. 2
The following is a PBE-GGA calculation of an optimized crystal structure of HoTm5Tl8, from Alexandria.

a = 9.159 Å, b = 9.159 Å, c = 9.285 Å
α = 90.00°, β = 90.00°, γ = 90.00°
Space group I-4 (No. 82)
Unique sites:
Ho 0.000 0.000 0.000 [2 per cell]
Tm 0.000 0.500 0.750 [2 per cell]
Tm 0.126 0.726 0.361 [8 per cell]
Tl 0.072 0.837 0.691 [8 per cell]
Tl 0.096 0.672 0.032 [8 per cell]

Values from the calculation:
Energy relative to the elements, eV/atom: -0.185
Magnetization, μB per formula unit: 0.000
Mass density, g/cm³: 11.277


No. 3
The following is a PBE-GGA calculation of an optimized crystal structure of HoTm2Tl4, from Alexandria.

a = 5.909 Å, b = 3.467 Å, c = 10.407 Å
α = 90.00°, β = 102.94°, γ = 90.00°
Space group Pm (No. 6)
Unique sites:
Ho 0.000 0.000 0.000 [1 per cell]
Tm 0.281 0.500 0.589 [1 per cell]
Tm 0.715 0.500 0.412 [1 per cell]
Tl 0.155 0.500 0.278 [1 per cell]
Tl 0.429 0.000 0.850 [1 per cell]
Tl 0.570 0.000 0.150 [1 per cell]
Tl 0.842 0.500 0.722 [1 per cell]

Values from the calculation:
Energy relative to the elements, eV/atom: 0.015
Magnetization, μB per formula unit: 0.000
Mass density, g/cm³: 10.552


No. 4
The following is a PBE-GGA calculation of an optimized crystal structure of Ho2Tm4Tl, from Alexandria.

a = 11.393 Å, b = 3.484 Å, c = 20.922 Å
α = 90.00°, β = 90.00°, γ = 90.00°
Space group Pnma (No. 62)
Unique sites:
Ho 0.149 0.250 0.101 [4 per cell]
Ho 0.158 0.750 0.396 [4 per cell]
Tm 0.076 0.250 0.811 [4 per cell]
Tm 0.115 0.750 0.961 [4 per cell]
Tm 0.117 0.250 0.540 [4 per cell]
Tm 0.169 0.250 0.256 [4 per cell]
Tl 0.085 0.750 0.674 [4 per cell]

Values from the calculation:
Energy relative to the elements, eV/atom: -0.033
Magnetization, μB per formula unit: 0.000
Mass density, g/cm³: 9.677


No. 5
The following is a PBE-GGA calculation of an optimized crystal structure of Ho3TmTl4, from Alexandria.

a = 3.767 Å, b = 3.767 Å, c = 15.095 Å
α = 90.00°, β = 90.00°, γ = 90.00°
Space group P4/mmm (No. 123)
Unique sites:
Ho 0.000 0.000 0.000 [1 per cell]
Ho 0.000 0.000 0.251 [2 per cell]
Tm 0.000 0.000 0.500 [1 per cell]
Tl 0.500 0.500 0.126 [2 per cell]
Tl 0.500 0.500 0.377 [2 per cell]

Values from the calculation:
Energy relative to the elements, eV/atom: -0.320
Magnetization, μB per formula unit: 0.000
Mass density, g/cm³: 11.483


No. 6
The following is a PBE-GGA calculation of an optimized crystal structure of Ho6TmTl4, from Alexandria.

a = 6.362 Å, b = 6.362 Å, c = 16.560 Å
α = 90.00°, β = 90.00°, γ = 90.00°
Space group I-42m (No. 121)
Unique sites:
Ho 0.000 0.500 0.000 [4 per cell]
Ho 0.236 0.236 0.321 [8 per cell]
Tm 0.000 0.000 0.000 [2 per cell]
Tl 0.243 0.243 0.134 [8 per cell]

Values from the calculation:
Energy relative to the elements, eV/atom: -0.120
Magnetization, μB per formula unit: 1.370
Mass density, g/cm³: 9.791


No. 7
The following is a PBE-GGA calculation of an optimized crystal structure of HoTm2Tl6, from Alexandria.

a = 13.945 Å, b = 11.262 Å, c = 6.309 Å
α = 90.00°, β = 92.39°, γ = 90.00°
Space group C2/c (No. 15)
Unique sites:
Ho 0.000 0.120 0.250 [4 per cell]
Tm 0.167 0.380 0.416 [8 per cell]
Tl 0.054 0.368 0.974 [8 per cell]
Tl 0.112 0.134 0.696 [8 per cell]
Tl 0.222 0.132 0.140 [8 per cell]

Values from the calculation:
Energy relative to the elements, eV/atom: -0.154
Magnetization, μB per formula unit: 0.000
Mass density, g/cm³: 11.601


No. 8
The following is a PBE-GGA calculation of an optimized crystal structure of HoTmTl, from Alexandria.

a = 5.3672 Å, b = 5.3672 Å, c = 6.6679 Å
α = 90.00°, β = 90.00°, γ = 120.00°
Space group P6_3/mmc (No. 194)
Unique sites:
Ho 0.3333 0.6667 0.2500 [2 per cell]
Tm 0.0000 0.0000 0.0000 [2 per cell]
Tl 0.3333 0.6667 0.7500 [2 per cell]

Values from the calculation:
Energy relative to the elements, eV/atom: -0.244
Magnetization, μB per formula unit: 0.338
Mass density, g/cm³: 10.750


Result set for V: 362.5 778.8 207.8 830.5 214.2 670.3 990.0 166.3 Å³ per cell, one per record in the order listed.